This record from Alexandria describes a relaxed SmAl5Zn7 crystal. The functional is GGA-PBE.

It has space group Imm2 (No. 44), with a = 5.574 Å, b = 9.001 Å, c = 8.807 Å, α = 90.00°, β = 90.00° and γ = 90.00°. Symmetry generates all atoms from Sm at (0.000, 0.000, 0.000), Al at (0.000, 0.500, 0.717), Al at (0.249, 0.254, 0.246), Zn at (0.000, 0.000, 0.351), Zn at (0.000, 0.000, 0.643), Zn at (0.000, 0.284, 0.497), Zn at (0.000, 0.355, 0.995) and Zn at (0.000, 0.500, 0.282).

Its formation energy is -1.69 eV per formula unit. For the density of states at the Fermi level, the calculation gives 5.84 states/eV per cell. For the size of the total moment, the calculation gives 0.00 μB/cell.

---

This record from Alexandria describes a relaxed LiTa2Co2 crystal. The functional is GGA-PBE.

It has space group P4/mbm (No. 127), with a = 7.116 Å, b = 7.116 Å, c = 2.903 Å, α = 90.00°, β = 90.00° and γ = 90.00°. Symmetry generates all atoms from Li at (0.000, 0.000, 0.000), Ta at (0.163, 0.337, 0.500) and Co at (0.134, 0.634, 0.000).

Its formation energy is -0.21 eV per formula unit. For the density of states at the Fermi level, the calculation gives 5.07 states/eV per cell. As for the energy above the most stable polymorph in this dataset: 0 meV per atom. For the size of the total moment, the calculation gives 0.00 μB/cell.